1.
{"formula": "Rb4Pr3CrS8", "functional": "PBE", "state": "optimized geometry", "lattice": [[-3.510, -6.832, 3.027], [0.481, -3.867, -8.170], [7.045, 2.811, 3.257]], "species": ["Rb", "Rb", "Rb", "Rb", "Pr", "Pr", "Pr", "Cr", "S", "S", "S", "S", "S", "S", "S", "S"], "fractional_positions": [[0.500, 0.000, 0.000], [0.500, 0.000, 0.500], [0.000, 0.000, 0.000], [0.000, 0.000, 0.500], [0.500, 0.500, 0.000], [0.500, 0.500, 0.500], [0.000, 0.500, 0.500], [0.000, 0.500, 0.000], [0.214, 0.687, 0.973], [0.214, 0.687, 0.427], [0.266, 0.297, 0.531], [0.760, 0.687, 0.973], [0.240, 0.313, 0.027], [0.734, 0.703, 0.469], [0.786, 0.313, 0.573], [0.786, 0.313, 0.027]], "total_magnetization_mub_per_cell": 3.00, "vol_a3_per_cell": 454.03, "raw_formation_energy_ev_per_atom": -1.507}

=====

2.
{"formula": "Pr4NdY3", "functional": "PBE", "state": "optimized geometry", "lattice": [[6.396, 0.000, 0.000], [0.000, 7.406, 0.000], [0.000, 0.000, 11.793]], "species": ["Pr", "Pr", "Pr", "Pr", "Pr", "Pr", "Pr", "Pr", "Nd", "Nd", "Y", "Y", "Y", "Y", "Y", "Y"], "fractional_positions": [[0.145, 0.871, 0.000], [0.654, 0.128, 0.000], [0.981, 0.125, 0.253], [0.481, 0.875, 0.247], [0.154, 0.872, 0.500], [0.645, 0.129, 0.500], [0.481, 0.875, 0.753], [0.981, 0.125, 0.747], [0.147, 0.374, 0.000], [0.647, 0.626, 0.500], [0.646, 0.621, 0.000], [0.981, 0.622, 0.250], [0.481, 0.378, 0.250], [0.146, 0.379, 0.500], [0.481, 0.378, 0.750], [0.981, 0.622, 0.750]], "relative_energy_mev_per_atom": 5, "total_magnetization_mub_per_cell": 0.00, "vol_a3_per_cell": 558.66, "ef_kj_per_mol_fu": 20}

=====

3.
{"formula": "AgRhSe2", "functional": "PBE", "state": "optimized geometry", "lattice": [[3.200, -1.847, 0.000], [0.000, 3.695, 0.000], [0.000, 0.000, 7.387]], "species": ["Rh", "Se", "Se", "Ag"], "fractional_positions": [[0.333, 0.667, 0.439], [0.333, 0.667, 0.764], [0.667, 0.333, 0.279], [0.000, 0.000, 0.973]], "total_magnetization_mub_per_cell": 0.00, "vol_a3_per_cell": 87.34, "raw_formation_energy_ev_per_atom": 0.066}

=====

4.
{"formula": "La2YMoAs", "functional": "PBE", "state": "optimized geometry", "lattice": [[-1.195, -0.954, 5.621], [-3.732, -2.506, -1.219], [3.274, -4.817, -0.122]], "species": ["Y", "Mo", "As", "La", "La"], "fractional_positions": [[0.000, 0.000, 0.000], [0.000, 0.500, 0.000], [0.500, 0.500, 0.500], [0.000, 0.000, 0.500], [0.500, 0.000, 0.000]], "total_magnetization_mub_per_cell": 0.00, "vol_a3_per_cell": 158.07, "ef_kj_per_mol_fu": 504}

=====

5.
{"formula": "LaSiSeBr2", "functional": "PBE", "state": "optimized geometry", "lattice": [[5.131, 0.000, 0.000], [0.000, 5.133, 0.000], [0.000, 0.000, 5.200]], "species": ["Si", "Br", "Br", "Se", "La"], "fractional_positions": [[0.000, 0.000, 0.000], [0.000, 0.500, 0.000], [0.500, 0.000, 0.000], [0.000, 0.000, 0.500], [0.500, 0.500, 0.500]], "relative_energy_mev_per_atom": 0, "total_magnetization_mub_per_cell": 0.47, "vol_a3_per_cell": 136.95, "raw_formation_energy_ev_per_atom": -0.559}

=====

6.
{"formula": "TbPr6Ho5", "functional": "PBE", "state": "optimized geometry", "lattice": [[-2.758, 4.192, -1.224], [-7.556, -3.254, 5.876], [8.208, 3.292, 3.679]], "species": ["Pr", "Pr", "Pr", "Pr", "Pr", "Pr", "Tb", "Ho", "Ho", "Ho", "Ho", "Ho"], "fractional_positions": [[0.833, 0.583, 0.667], [0.833, 0.083, 0.667], [0.500, 0.750, 0.000], [0.500, 0.250, 0.000], [0.167, 0.917, 0.333], [0.167, 0.417, 0.333], [0.000, 0.000, 0.000], [0.667, 0.167, 0.334], [0.333, 0.333, 0.667], [0.000, 0.500, 0.000], [0.667, 0.667, 0.333], [0.333, 0.833, 0.666]], "total_magnetization_mub_per_cell": 0.00, "vol_a3_per_cell": 402.83, "ef_kj_per_mol_fu": 20}

=====

7.
{"formula": "LaHo4Er2Th", "functional": "PBE", "state": "optimized geometry", "lattice": [[5.067, 0.000, 0.000], [0.000, 4.953, 0.969], [0.000, 3.026, 10.788]], "species": ["La", "Ho", "Ho", "Ho", "Ho", "Er", "Er", "Th"], "fractional_positions": [[0.500, 0.500, 0.000], [0.000, 0.756, 0.744], [0.000, 0.244, 0.256], [0.500, 0.743, 0.257], [0.500, 0.257, 0.743], [0.000, 0.000, 0.000], [0.500, 0.000, 0.500], [0.000, 0.500, 0.500]], "total_magnetization_mub_per_cell": 0.00, "vol_a3_per_cell": 255.89, "ef_kj_per_mol_fu": 31}

=====

8.
{"formula": "GaCu2Sn", "functional": "PBE", "state": "optimized geometry", "lattice": [[3.259, 0.000, 0.000], [0.000, 3.259, 0.000], [0.000, 0.000, 6.364]], "species": ["Cu", "Cu", "Sn", "Ga"], "fractional_positions": [[0.000, 0.000, 0.795], [0.000, 0.000, 0.205], [0.500, 0.500, 0.500], [0.500, 0.500, 0.000]], "relative_energy_mev_per_atom": 18, "total_magnetization_mub_per_cell": 0.00, "vol_a3_per_cell": 67.60, "ef_kj_per_mol_fu": 39}